# PBE-GGA Yb5Si10Ir4, relaxed
data_Yb5Si10Ir4
_cell_length_a 12.610
_cell_length_b 12.610
_cell_length_c 4.292
_cell_angle_alpha 90.00
_cell_angle_beta 90.00
_cell_angle_gamma 90.00
_space_group_name_H-M_alt 'P 4/m b m'
_space_group_IT_number 127
_space_group_name_Hall '-P 4 2ab'
loop_
_atom_site_label
_atom_site_type_symbol
_atom_site_fract_x
_atom_site_fract_y
_atom_site_fract_z
_atom_site_occupancy
Yb1 Yb 0.000 0.000 0.000 1
Yb2 Yb 0.115 0.385 0.500 1
Yb3 Yb 0.174 0.674 0.500 1
Si1 Si 0.003 0.844 0.500 1
Si2 Si 0.067 0.567 0.000 1
Si3 Si 0.165 0.200 0.000 1
Ir1 Ir 0.019 0.755 0.000 1
# D(E_F) ... 113.82 states/eV per cell
# Final energy ... -5.87 eV per atom
# E_form (uncorrected) ... -0.7481 eV/atom
# Mass density ... 9.32 g cm⁻³

# PBE-GGA ZnSi2Ir, relaxed
data_ZnSi2Ir
_cell_length_a 3.093
_cell_length_b 4.235
_cell_length_c 4.771
_cell_angle_alpha 90.00
_cell_angle_beta 102.57
_cell_angle_gamma 90.00
_space_group_name_H-M_alt 'P 1 2/m 1'
_space_group_IT_number 10
loop_
_space_group_symop_operation_xyz
'x,y,z'
'-x,-y,-z'
'-x,y,-z'
'x,-y,z'
loop_
_atom_site_label
_atom_site_type_symbol
_atom_site_fract_x
_atom_site_fract_y
_atom_site_fract_z
_atom_site_occupancy
Zn1 Zn 0.000 0.000 0.000 1
Si1 Si 0.422 0.500 0.232 1
Ir1 Ir 0.500 0.000 0.500 1
# D(E_F) ... 0.83 states/eV per cell
# Final energy ... -5.33 eV per atom
# E_form (uncorrected) ... -0.0840 eV/atom
# Mass density ... 8.54 g cm⁻³

# PBE-GGA Zn3SiIr, relaxed
data_Zn3SiIr
_cell_length_a 4.498
_cell_length_b 4.498
_cell_length_c 4.498
_cell_angle_alpha 90.00
_cell_angle_beta 90.00
_cell_angle_gamma 90.00
_space_group_name_H-M_alt 'P m -3 m'
_space_group_IT_number 221
_space_group_name_Hall '-P 4 2 3'
loop_
_atom_site_label
_atom_site_type_symbol
_atom_site_fract_x
_atom_site_fract_y
_atom_site_fract_z
_atom_site_occupancy
Zn1 Zn 0.000 0.000 0.500 1
Si1 Si 0.000 0.000 0.000 1
Ir1 Ir 0.500 0.500 0.500 1
# D(E_F) ... 5.55 states/eV per cell
# Final energy ... -2.66 eV per atom
# E_form (uncorrected) ... 0.9586 eV/atom
# Mass density ... 7.60 g cm⁻³

# PBE-GGA Zn2SiIr2, relaxed
data_Zn2SiIr2
_cell_length_a 3.728
_cell_length_b 3.728
_cell_length_c 12.001
_cell_angle_alpha 90.00
_cell_angle_beta 90.00
_cell_angle_gamma 90.00
_space_group_name_H-M_alt 'I 4/m m m'
_space_group_IT_number 139
_space_group_name_Hall '-I 4 2'
loop_
_atom_site_label
_atom_site_type_symbol
_atom_site_fract_x
_atom_site_fract_y
_atom_site_fract_z
_atom_site_occupancy
Zn1 Zn 0.000 0.000 0.100 1
Si1 Si 0.000 0.000 0.500 1
Ir1 Ir 0.000 0.500 0.250 1
# D(E_F) ... 9.19 states/eV per cell
# Final energy ... -4.64 eV per atom
# E_form (uncorrected) ... 0.4960 eV/atom
# Mass density ... 10.82 g cm⁻³

# PBE-GGA Zn4SiIr, relaxed
data_Zn4SiIr
_cell_length_a 7.002
_cell_length_b 7.002
_cell_length_c 7.002
_cell_angle_alpha 90.00
_cell_angle_beta 90.00
_cell_angle_gamma 90.00
_space_group_name_H-M_alt 'F -4 3 m'
_space_group_IT_number 216
_space_group_name_Hall 'F -4 2 3'
loop_
_atom_site_label
_atom_site_type_symbol
_atom_site_fract_x
_atom_site_fract_y
_atom_site_fract_z
_atom_site_occupancy
Zn1 Zn 0.125 0.125 0.125 1
Si1 Si 0.250 0.250 0.750 1
Ir1 Ir 0.000 0.000 0.500 1
# D(E_F) ... 8.12 states/eV per cell
# Final energy ... -3.12 eV per atom
# E_form (uncorrected) ... 0.1100 eV/atom
# Mass density ... 9.32 g cm⁻³

# PBE-GGA ZnSi2Ir, relaxed
data_ZnSi2Ir
_cell_length_a 2.745
_cell_length_b 4.933
_cell_length_c 8.878
_cell_angle_alpha 90.00
_cell_angle_beta 90.00
_cell_angle_gamma 90.00
_space_group_name_H-M_alt 'C m m m'
_space_group_IT_number 65
_space_group_name_Hall '-C 2 2'
loop_
_atom_site_label
_atom_site_type_symbol
_atom_site_fract_x
_atom_site_fract_y
_atom_site_fract_z
_atom_site_occupancy
Zn1 Zn 0.000 0.000 0.000 1
Si1 Si 0.000 0.500 0.265 1
Ir1 Ir 0.000 0.000 0.500 1
# D(E_F) ... 3.24 states/eV per cell
# Final energy ... -5.10 eV per atom
# E_form (uncorrected) ... 0.1480 eV/atom
# Mass density ... 8.67 g cm⁻³

# PBE-GGA ZnSi4Ir, relaxed
data_ZnSi4Ir
_cell_length_a 7.086
_cell_length_b 7.086
_cell_length_c 7.086
_cell_angle_alpha 90.00
_cell_angle_beta 90.00
_cell_angle_gamma 90.00
_space_group_name_H-M_alt 'F -4 3 m'
_space_group_IT_number 216
_space_group_name_Hall 'F -4 2 3'
loop_
_atom_site_label
_atom_site_type_symbol
_atom_site_fract_x
_atom_site_fract_y
_atom_site_fract_z
_atom_site_occupancy
Zn1 Zn 0.000 0.000 0.000 1
Si1 Si 0.125 0.125 0.375 1
Ir1 Ir 0.250 0.250 0.750 1
# D(E_F) ... 12.41 states/eV per cell
# Final energy ... -4.75 eV per atom
# E_form (uncorrected) ... 0.5496 eV/atom
# Mass density ... 6.91 g cm⁻³

# PBE-GGA Zn2SiIr3, relaxed
data_Zn2SiIr3
_cell_length_a 4.233
_cell_length_b 12.683
_cell_length_c 6.104
_cell_angle_alpha 90.00
_cell_angle_beta 90.00
_cell_angle_gamma 90.00
_space_group_name_H-M_alt 'C m m m'
_space_group_IT_number 65
_space_group_name_Hall '-C 2 2'
loop_
_atom_site_label
_atom_site_type_symbol
_atom_site_fract_x
_atom_site_fract_y
_atom_site_fract_z
_atom_site_occupancy
Zn1 Zn 0.000 0.000 0.000 1
Zn2 Zn 0.000 0.000 0.500 1
Zn3 Zn 0.000 0.334 0.000 1
Si1 Si 0.000 0.339 0.500 1
Ir1 Ir 0.000 0.172 0.267 1
Ir2 Ir 0.000 0.500 0.259 1
# D(E_F) ... 2.46 states/eV per cell
# Final energy ... -6.16 eV per atom
# E_form (uncorrected) ... -0.3977 eV/atom
# Mass density ... 14.91 g cm⁻³